Record 1
MgCrHO2: optimized geometry, PBE+U.

Lattice parameters (Å, degrees): 3.9031 3.2633 3.9031 90.00 90.00 90.00
Atoms (fractional coordinates):
1 O 0.0000 0.0000 0.5000
2 O 0.5000 0.0000 0.0000
3 Cr 0.0000 0.0000 0.0000
4 Mg 0.5000 0.5000 0.5000
5 H 0.0000 0.5000 0.0000

E ... -0.2119 hartree per atom
Size of the total moment ... 0.600 μB/atom
V ... 9.9 Å³ per atom
Fermi-level density of states ... 0.000 states/eV/atom

=====

Record 2
MgCrH22O15: optimized geometry, PBE+U.

Lattice parameters (Å, degrees): 6.7310 6.9889 17.5755 86.68 89.24 63.47
Atoms (fractional coordinates):
1 H 0.7173 0.5820 0.6393
2 H 0.6007 0.6427 0.1481
3 H 0.4348 0.8207 0.0430
4 H 0.0751 0.7452 0.2456
5 H 0.6642 0.7006 0.3446
6 H 0.7550 0.4270 0.5745
7 H 0.2224 0.2587 0.4748
8 H 0.0918 0.9023 0.3463
9 H 0.7448 0.4366 0.2679
10 H 0.4503 0.0547 0.6812
11 H 0.5652 0.1793 0.9570
12 H 0.5736 0.8772 0.1603
13 H 0.2003 0.6733 0.6063
14 H 0.1240 0.1871 0.1100
15 H 0.2552 0.5634 0.7321
16 H 0.5483 0.2333 0.0437
17 H 0.0295 0.5562 0.7087
18 H 0.1520 0.0424 0.7571
19 H 0.5978 0.3102 0.4353
20 H 0.2450 0.5730 0.4255
21 H 0.2868 0.1426 0.5574
22 H 0.7997 0.3267 0.3937
23 H 0.5497 0.9453 0.3188
24 H 0.8466 0.7379 0.0772
25 H 0.3153 0.8670 0.3870
26 H 0.8480 0.9576 0.2429
27 H 0.4517 0.7667 0.9563
28 H 0.7776 0.7413 0.5252
29 H 0.9518 0.9717 0.8428
30 H 0.1534 0.2621 0.9228
31 H 0.9082 0.0977 0.6537
32 H 0.9705 0.4438 0.2913
33 H 0.0482 0.0283 0.1572
34 H 0.4264 0.1228 0.8397
35 H 0.8934 0.4037 0.9323
36 H 0.3993 0.3573 0.8519
37 H 0.2827 0.4180 0.3607
38 H 0.8760 0.8129 0.8900
39 H 0.4022 0.6898 0.5647
40 H 0.3358 0.2994 0.6554
41 H 0.1066 0.5963 0.0677
42 H 0.7132 0.8574 0.4426
43 H 0.6847 0.1330 0.6130
44 H 0.9249 0.2548 0.7544
45 Cr 0.5867 0.6790 0.7993
46 Cr 0.4133 0.3210 0.2007
47 O 0.8347 0.1267 0.6028
48 O 0.8040 0.8416 0.4889
49 O 0.4325 0.1544 0.6362
50 O 0.6934 0.6646 0.8849
51 O 0.3090 0.4187 0.4162
52 O 0.3455 0.8280 0.9973
53 O 0.9884 0.0972 0.7520
54 O 0.2102 0.4503 0.2623
55 O 0.0116 0.9028 0.2480
56 O 0.6066 0.7698 0.1215
57 O 0.2402 0.7355 0.5598
58 O 0.1960 0.1584 0.5111
59 O 0.9811 0.7337 0.0515
60 O 0.7898 0.5497 0.7377
61 O 0.9580 0.8985 0.8933
62 O 0.5843 0.4336 0.1968
63 O 0.0189 0.2663 0.9485
64 O 0.3934 0.2302 0.8785
65 O 0.0420 0.1015 0.1067
66 O 0.5563 0.0623 0.2303
67 O 0.8251 0.4593 0.3112
68 O 0.6545 0.1720 0.0027
69 O 0.7598 0.2645 0.4402
70 O 0.3066 0.3354 0.1151
71 O 0.5675 0.8456 0.3638
72 O 0.4157 0.5664 0.8032
73 O 0.1749 0.5407 0.6888
74 O 0.4437 0.9377 0.7697
75 O 0.6910 0.5813 0.5838
76 O 0.1653 0.8733 0.3972
77 Mg 0.0000 0.0000 0.5000
78 Mg 0.0000 0.0000 0.0000

E ... -0.1912 hartree per atom
Size of the total moment ... 0.006 μB/atom
V ... 9.5 Å³ per atom
Fermi-level density of states ... 0.000 states/eV/atom